[1]
Entry from the Alexandria database: a geometry-optimized GaB2Pt2Rh5 structure (PBE).

Volume: 13.008 A^3/atom
Density: 12.7 g/cm³
Total moment: 0.0 μB per formula unit
Density of states at the Fermi level: 8.79 states/eV/f.u.

Cell: 2.8264 9.5942 9.5942 Å, 90.00 90.00 90.00°
Element x y z (fractional)
Ga (0.0000, 0.0000, 0.0000)
Ga (0.0000, 0.5000, 0.5000)
B (0.0000, 0.1292, 0.6292)
B (0.0000, 0.8708, 0.3708)
B (0.0000, 0.6292, 0.8708)
B (0.0000, 0.3708, 0.1292)
Pt (0.0000, 0.7093, 0.2093)
Pt (0.0000, 0.2907, 0.7907)
Pt (0.0000, 0.2093, 0.2907)
Pt (0.0000, 0.7907, 0.7093)
Rh (0.5000, 0.2212, 0.0334)
Rh (0.5000, 0.7788, 0.9666)
Rh (0.5000, 0.0334, 0.7788)
Rh (0.5000, 0.7212, 0.4666)
Rh (0.5000, 0.9666, 0.2212)
Rh (0.5000, 0.2788, 0.5334)
Rh (0.5000, 0.5334, 0.7212)
Rh (0.5000, 0.4666, 0.2788)
Rh (0.5000, 0.5000, 0.0000)
Rh (0.5000, 0.0000, 0.5000)

=====

[2]
Entry from the Alexandria database: a geometry-optimized K2RbCu structure (PBE).

Volume: 70.500 A^3/atom
Density: 1.3 g/cm³
Total moment: 0.0 μB per formula unit
Energy above the most stable polymorph in this dataset: 0.2210 eV/atom
Density of states at the Fermi level: 2.19 states/eV/f.u.

Cell: 4.8026 4.8026 14.3874 Å, 80.39 80.39 60.00°
Element x y z (fractional)
K (0.0703, 0.0703, 0.7892)
K (0.9297, 0.9297, 0.2108)
Cu (0.0000, 0.0000, 0.0000)
Rb (0.5000, 0.5000, 0.5000)

=====

[3]
Entry from the Alexandria database: a geometry-optimized Re2NiSbIr structure (PBE).

Volume: 18.177 A^3/atom
Formation energy without anion corrections: 1.530 eV/atom
Density: 13.6 g/cm³
Total moment: 0.1 μB per formula unit
Density of states at the Fermi level: 8.53 states/eV/f.u.

Cell: 4.4398 4.6107 4.4398 Å, 90.00 90.00 90.00°
Element x y z (fractional)
Re (0.0000, 0.0000, 0.5000)
Re (0.5000, 0.0000, 0.0000)
Ir (0.0000, 0.5000, 0.0000)
Ni (0.0000, 0.0000, 0.0000)
Sb (0.5000, 0.5000, 0.5000)

=====

[4]
Entry from the Alexandria database: a geometry-optimized Pr7NdHo2 structure (PBE).

Volume: 42.646 A^3/atom
Density: 5.7 g/cm³
Total moment: 0.0 μB per formula unit
Energy above the most stable polymorph in this dataset: 0.4348 eV/atom
Density of states at the Fermi level: 14.73 states/eV/f.u.

Cell: 5.7902 9.3262 9.3262 Å, 122.13 90.00 90.00°
Element x y z (fractional)
Pr (0.0000, 0.7711, 0.2288)
Pr (0.0000, 0.2289, 0.7712)
Pr (0.5000, 0.0641, 0.2959)
Pr (0.5000, 0.9359, 0.7041)
Pr (0.5000, 0.2959, 0.0641)
Pr (0.5000, 0.7041, 0.9359)
Pr (0.5000, 0.5000, 0.5000)
Nd (0.0000, 0.0000, 0.0000)
Ho (0.5000, 0.7041, 0.2959)
Ho (0.5000, 0.2959, 0.7041)

=====

[5]
Entry from the Alexandria database: a geometry-optimized PmPr2Mg8 structure (PBE).

Volume: 26.638 A^3/atom
Density: 3.5 g/cm³
Total moment: 0.0 μB per formula unit
Density of states at the Fermi level: 7.19 states/eV/f.u.

Cell: 5.1344 7.2131 8.6238 Å, 105.30 107.32 90.00°
Element x y z (fractional)
Pm (0.5000, 0.0000, 0.0000)
Pr (0.2174, 0.6450, 0.4347)
Pr (0.7826, 0.3550, 0.5653)
Mg (0.6762, 0.8946, 0.3525)
Mg (0.4128, 0.5331, 0.8255)
Mg (0.1425, 0.1392, 0.2850)
Mg (0.9795, 0.2825, 0.9590)
Mg (0.8575, 0.8608, 0.7150)
Mg (0.5872, 0.4669, 0.1745)
Mg (0.3238, 0.1054, 0.6475)
Mg (0.0205, 0.7175, 0.0410)

=====

[6]
Entry from the Alexandria database: a geometry-optimized BeCo2B structure (PBE).

Volume: 8.011 A^3/atom
Density: 7.1 g/cm³
Total moment: 0.0 μB per formula unit
Energy above the most stable polymorph in this dataset: 0.0091 eV/atom
Density of states at the Fermi level: 1.54 states/eV/f.u.

Cell: 3.5652 3.5652 3.5652 Å, 60.00 60.00 60.00°
Element x y z (fractional)
Be (0.0000, 0.0000, 0.0000)
B (0.5000, 0.5000, 0.5000)
Co (0.2500, 0.2500, 0.2500)
Co (0.7500, 0.7500, 0.7500)

=====

[7]
Entry from the Alexandria database: a geometry-optimized La2YHfP4 structure (PBE).

Volume: 23.445 A^3/atom
Density: 5.9 g/cm³
Total moment: 0.0 μB per formula unit
Density of states at the Fermi level: 1.35 states/eV/f.u.

Cell: 4.0299 6.9911 7.0466 Å, 109.13 90.00 90.00°
Element x y z (fractional)
La (0.5000, 0.0000, 0.5000)
La (0.0000, 0.5000, 0.5000)
Y (0.5000, 0.5000, 0.0000)
Hf (0.0000, 0.0000, 0.0000)
P (0.5000, 0.2302, 0.2214)
P (0.5000, 0.7698, 0.7786)
P (0.0000, 0.2459, 0.7724)
P (0.0000, 0.7541, 0.2276)

=====

[8]
Entry from the Alexandria database: a geometry-optimized Pm4PrY4 structure (PBE).

Volume: 33.564 A^3/atom
Density: 5.9 g/cm³
Total moment: 0.0 μB per formula unit
Density of states at the Fermi level: 13.09 states/eV/f.u.

Cell: 5.1105 8.1018 8.1018 Å, 84.29 71.62 71.62°
Element x y z (fractional)
Pm (0.6669, 0.3331, 0.3331)
Pm (0.3331, 0.6669, 0.6669)
Pm (0.0000, 0.6669, 0.3331)
Pm (0.0000, 0.3331, 0.6669)
Pr (0.0000, 0.0000, 0.0000)
Y (0.6669, 0.6661, 0.0002)
Y (0.3331, 0.3339, 0.9998)
Y (0.6670, 0.9998, 0.6661)
Y (0.3330, 0.0002, 0.3339)

=====

[9]
Entry from the Alexandria database: a geometry-optimized Ge2WBr structure (PBE).

Volume: 28.907 A^3/atom
Formation energy without anion corrections: 0.852 eV/atom
Density: 5.9 g/cm³
Total moment: 0.0 μB per formula unit
Energy above the most stable polymorph in this dataset: 0.0000 eV/atom
Density of states at the Fermi level: 3.09 states/eV/f.u.

Cell: 6.1707 6.1707 7.4782 Å, 65.63 65.63 90.00°
Element x y z (fractional)
Ge (0.6941, 0.1250, 0.2500)
Ge (0.0559, 0.6250, 0.2500)
Ge (0.3750, 0.3059, 0.7500)
Ge (0.8750, 0.9441, 0.7500)
Br (0.5000, 0.5000, 0.0000)
Br (0.2500, 0.7500, 0.5000)
W (0.0000, 0.0000, 0.0000)
W (0.7500, 0.2500, 0.5000)

=====

[10]
Entry from the Alexandria database: a geometry-optimized YBeSiNi6 structure (PBE).

Volume: 13.130 A^3/atom
Formation energy without anion corrections: -0.162 eV/atom
Density: 6.7 g/cm³
Total moment: 0.0 μB per formula unit
Density of states at the Fermi level: 4.75 states/eV/f.u.

Cell: 6.1524 7.5160 7.0503 Å, 122.21 115.87 90.00°
Element x y z (fractional)
Y (0.7060, 0.4560, 0.4120)
Y (0.2940, 0.5440, 0.5880)
Be (0.5000, 0.5000, 0.0000)
Be (0.5000, 0.0000, 0.0000)
Si (0.5000, 0.0000, 0.5000)
Si (0.0000, 0.0000, 0.5000)
Ni (0.5917, 0.8417, 0.1833)
Ni (0.0200, 0.2700, 0.0401)
Ni (0.9155, 0.1051, 0.2362)
Ni (0.3207, 0.6311, 0.2362)
Ni (0.3207, 0.1051, 0.2362)
Ni (0.9155, 0.6311, 0.2362)
Ni (0.4083, 0.1583, 0.8167)
Ni (0.9800, 0.7300, 0.9599)
Ni (0.0845, 0.8949, 0.7638)
Ni (0.6793, 0.3689, 0.7638)
Ni (0.6793, 0.8949, 0.7638)
Ni (0.0845, 0.3689, 0.7638)

=====

[11]
Entry from the Alexandria database: a geometry-optimized Y3Al2Fe4 structure (PBE).

Volume: 17.302 A^3/atom
Density: 5.8 g/cm³
Total moment: 6.0 μB per formula unit
Density of states at the Fermi level: 9.18 states/eV/f.u.

Cell: 5.2685 5.2730 12.8228 Å, 89.81 90.46 119.04°
Element x y z (fractional)
Y (0.3381, 0.6587, 0.2892)
Y (0.9953, 0.9919, 0.6307)
Y (0.6624, 0.3240, 0.9608)
Y (0.3376, 0.6760, 0.0392)
Y (0.0047, 0.0081, 0.3693)
Y (0.6619, 0.3413, 0.7108)
Al (0.5000, 0.0000, 0.5000)
Al (0.1630, 0.3324, 0.8354)
Al (0.8370, 0.6676, 0.1646)
Al (0.0000, 0.5000, 0.5000)
Fe (0.6648, 0.8333, 0.8344)
Fe (0.3352, 0.1667, 0.1656)
Fe (0.3448, 0.6748, 0.6730)
Fe (0.0000, 0.0000, 0.0000)
Fe (0.6552, 0.3252, 0.3270)
Fe (0.5000, 0.5000, 0.5000)
Fe (0.1645, 0.8337, 0.8343)
Fe (0.8355, 0.1663, 0.1657)

=====

[12]
Entry from the Alexandria database: a geometry-optimized Sc2TaAs structure (PBE).

Volume: 19.152 A^3/atom
Density: 7.5 g/cm³
Total moment: 0.0 μB per formula unit
Density of states at the Fermi level: 3.07 states/eV/f.u.

Cell: 5.4086 5.4086 5.4086 Å, 135.51 135.51 64.74°
Element x y z (fractional)
As (0.7500, 0.2500, 0.5000)
Sc (0.0000, 0.0000, 0.0000)
Sc (0.2500, 0.7500, 0.5000)
Ta (0.5000, 0.5000, 0.0000)

=====

Number 1: final energy -6.783 eV/atom. Number 2: final energy -1.305 eV/atom. Number 3: final energy -7.202 eV/atom. Number 4: final energy -4.115 eV/atom. Number 5: final energy -2.527 eV/atom. Number 6: final energy -6.489 eV/atom. Number 7: final energy -7.492 eV/atom. Number 8: final energy -5.501 eV/atom. Number 9: final energy -5.113 eV/atom. Number 10: final energy -5.751 eV/atom. Number 11: final energy -6.956 eV/atom. Number 12: final energy -7.545 eV/atom.